Record 1
Density functional theory data (PBE-GGA) for a relaxed structure of Ca2Be.

abc: 7.8749 7.8749 4.7564
angles: 90.00 90.00 120.00
Fractional positions:
1 Ca 0.0000 0.2572 0.0000
2 Ca 0.0000 0.5920 0.5000
3 Ca 0.2572 0.0000 0.0000
4 Ca 0.4080 0.4080 0.5000
5 Ca 0.5920 0.0000 0.5000
6 Ca 0.7428 0.7428 0.0000
7 Be 0.0000 0.0000 0.5000
8 Be 0.3333 0.6667 0.0000
9 Be 0.6667 0.3333 0.0000

## Properties
* density: 1.7 g/cm³
* polymorph energy (0 for the lowest one): 84.3 meV/atom
* space-group type: P-62m, No. 189
* volume: 255.4 Å³ per cell


Record 2
Density functional theory data (PBE-GGA) for a relaxed structure of LaDy3Er6Tm2.

abc: 6.1146 6.1146 11.7131
angles: 94.97 94.97 119.93
Fractional positions:
1 La 0.0000 0.0000 0.0000
2 Dy 0.1671 0.8329 0.5000
3 Dy 0.5000 0.5000 0.5000
4 Dy 0.8329 0.1671 0.5000
5 Er 0.0842 0.4190 0.2516
6 Er 0.2509 0.2509 0.7483
7 Er 0.4190 0.0842 0.2516
8 Er 0.5810 0.9158 0.7484
9 Er 0.7491 0.7491 0.2517
10 Er 0.9158 0.5810 0.7484
11 Tm 0.3333 0.6667 0.0000
12 Tm 0.6667 0.3333 0.0000

## Properties
* density: 8.7 g/cm³
* space-group type: C2/m, No. 12
* volume: 373.8 Å³ per cell


Record 3
Density functional theory data (PBE-GGA) for a relaxed structure of BaBeMo.

abc: 6.7958 6.7958 6.7958
angles: 90.00 90.00 90.00
Fractional positions:
1 Ba 0.0000 0.0000 0.0000
2 Ba 0.0000 0.5000 0.5000
3 Ba 0.5000 0.0000 0.5000
4 Ba 0.5000 0.5000 0.0000
5 Be 0.2500 0.2500 0.2500
6 Be 0.2500 0.7500 0.7500
7 Be 0.7500 0.2500 0.7500
8 Be 0.7500 0.7500 0.2500
9 Mo 0.0000 0.0000 0.5000
10 Mo 0.0000 0.5000 0.0000
11 Mo 0.5000 0.0000 0.0000
12 Mo 0.5000 0.5000 0.5000

## Properties
* density: 5.1 g/cm³
* polymorph energy (0 for the lowest one): 671.9 meV/atom
* space-group type: F-43m, No. 216
* volume: 313.8 Å³ per cell


| no. | DOS at the Fermi energy (states/eV/atom) | E (eV per atom) |
| --- | --- | --- |
| 1 | 1.057 | -2.266 |
| 2 | 1.321 | -4.564 |
| 3 | 0.922 | -4.028 |